This record from Alexandria describes crystalline LaCuP2O8 at its relaxed geometry. The functional is PBE.

a = 7.4776 Å, b = 7.4776 Å, c = 7.4776 Å
α = 37.00°, β = 37.00°, γ = 37.00°
With the nearest neighbours (Å) after each atom.
Sites, in units of the cell vectors:
La 0.0000 0.0000 0.0000  12 O 2.75-2.79
Cu 0.5000 0.5000 0.5000  6 O 2.02
P 0.2446 0.2446 0.2446  4 O 1.55-1.56
P 0.7554 0.7554 0.7554  4 O 1.55-1.56
O 0.0919 0.4622 0.7704  1 P 1.55
O 0.2296 0.9081 0.5378  1 P 1.55
O 0.3195 0.3195 0.3195  1 P 1.56
O 0.4622 0.7704 0.0919  1 P 1.55
O 0.5378 0.2296 0.9081  1 P 1.55
O 0.6805 0.6805 0.6805  1 P 1.56
O 0.7704 0.0919 0.4622  1 P 1.55
O 0.9081 0.5378 0.2296  1 P 1.55

Results
For the uncorrected formation energy, the calculation gives -2107.0 meV per atom. The space group is No. 148.

This record from Alexandria describes crystalline BaTaCoMo2 at its relaxed geometry. The functional is PBE.

a = 4.9716 Å, b = 4.9716 Å, c = 4.8663 Å
α = 90.00°, β = 90.00°, γ = 90.00°
With the nearest neighbours (Å) after each atom.
Sites, in units of the cell vectors:
Ba 0.0000 0.0000 0.0000  8 Mo 3.48, 4 Co 3.52
Ta 0.5000 0.5000 0.5000  2 Co 2.43, 4 Mo 2.49
Co 0.5000 0.5000 0.0000  2 Ta 2.43
Mo 0.0000 0.5000 0.5000  2 Ta 2.49
Mo 0.5000 0.0000 0.5000  2 Ta 2.49

Results
The value obtained for the energy of formation from the pure elements is 1.335 eV per atom. The space group is No. 123.

This record from Alexandria describes crystalline LiUSeO6 at its relaxed geometry. The functional is PBE.

a = 5.3942 Å, b = 5.3942 Å, c = 9.3547 Å
α = 90.00°, β = 90.00°, γ = 120.00°
With the nearest neighbours (Å) after each atom.
Sites, in units of the cell vectors:
Li 0.0000 0.0000 0.0000  6 O 2.34
Li 0.0000 0.0000 0.5000  6 O 2.34
U 0.3333 0.6667 0.2500  6 O 2.12
U 0.6667 0.3333 0.7500  6 O 2.12
Se 0.3333 0.6667 0.7500  6 O 1.93
Se 0.6667 0.3333 0.2500  6 O 1.93
O 0.0264 0.3734 0.6381  1 Se 1.93, 1 U 2.12
O 0.0264 0.6530 0.8619  1 Se 1.93, 1 U 2.12
O 0.3470 0.3734 0.8619  1 Se 1.93, 1 U 2.12
O 0.3470 0.9736 0.6381  1 Se 1.93, 1 U 2.12
O 0.3734 0.0264 0.1381  1 Se 1.93, 1 U 2.12
O 0.3734 0.3470 0.3619  1 Se 1.93, 1 U 2.12
O 0.6266 0.6530 0.6381  1 Se 1.93, 1 U 2.12
O 0.6266 0.9736 0.8619  1 Se 1.93, 1 U 2.12
O 0.6530 0.0264 0.3619  1 Se 1.93, 1 U 2.12
O 0.6530 0.6266 0.1381  1 Se 1.93, 1 U 2.12
O 0.9736 0.3470 0.1381  1 Se 1.93, 1 U 2.12
O 0.9736 0.6266 0.3619  1 Se 1.93, 1 U 2.12

Results
For the uncorrected formation energy, the calculation gives -1748.4 meV per atom. The space group is No. 163.

no.,magnetic moment (μB per atom)
1,0.17
2,0.75
3,0.08